# 1
Computed, not measured: a crystal of BaPPd2Br relaxed with PBEsol at the meta-GGA SCAN level of DFT.

Cell: 5.406 5.406 5.869 Å, 90.00 90.00 90.00°
Sites, in units of the cell vectors:
Ba1 0.000 0.000 0.000
P1 0.500 0.500 0.500
Pd1 0.000 0.500 0.000
Pd2 0.500 0.000 0.000
Br1 0.000 0.000 0.500

Summary:
density = 4.46 g/cm3
uncorrected formation energy = 4.5 eV/f.u.

# 2
Computed, not measured: a crystal of CaCuAu2 relaxed with PBEsol at the meta-GGA SCAN level of DFT.

Cell: 4.955 4.955 4.955 Å, 131.54 124.32 76.88°
Sites, in units of the cell vectors:
Ca1 0.000 0.000 0.000
Cu1 0.500 0.500 0.000
Au1 0.275 0.775 0.500
Au2 0.725 0.225 0.500

Summary:
density = 11.31 g/cm3
ΔE to the lowest computed polymorph = 124 meV per atom
ΔE_f = -0.4318 eV/atom

# 3
Computed, not measured: a crystal of TlCd2Br relaxed with PBEsol at the meta-GGA SCAN level of DFT.

Cell: 5.357 5.357 5.357 Å, 60.00 60.00 60.00°
Sites, in units of the cell vectors:
Tl1 0.000 0.000 0.000
Cd1 0.500 0.500 0.500
Cd2 0.750 0.750 0.750
Br1 0.250 0.250 0.250

Summary:
density = 7.78 g/cm3
uncorrected formation energy = -0.5 eV/f.u.
ΔE to the lowest computed polymorph = 81 meV per atom